# 1
First-principles (PBE) data for crystalline GaTeMoI2 at its relaxed geometry, as listed in the Alexandria database.

```
data_GaTeMoI2
_chemical_formula_sum 'Ga1 Te1 Mo1 I2'
_cell_length_a 5.772
_cell_length_b 5.772
_cell_length_c 5.317
_cell_angle_alpha 90.00
_cell_angle_beta 90.00
_cell_angle_gamma 90.00
_symmetry_space_group_name_H-M 'P 4/m m m'
_symmetry_Int_Tables_number 123
_symmetry_space_group_name_Hall '-P 4 2'
loop_
_atom_site_label
_atom_site_type_symbol
_atom_site_fract_x
_atom_site_fract_y
_atom_site_fract_z
Ga1 Ga 0.000 0.000 0.000
Te1 Te 0.500 0.500 0.000
Mo1 Mo 0.500 0.500 0.500
I1 I 0.000 0.500 0.500
```

Summary:
N(E_F) in states/eV/atom: 0.4753
Crystal system: tetragonal
Energy above the most stable polymorph in this dataset in eV per atom: 0.0000



# 2
First-principles (PBE) data for crystalline LiCaPb at its relaxed geometry, as listed in the Alexandria database.

```
data_LiCaPb
_chemical_formula_sum 'Li3 Ca3 Pb3'
_cell_length_a 4.9798
_cell_length_b 4.9798
_cell_length_c 10.9239
_cell_angle_alpha 90.00
_cell_angle_beta 90.00
_cell_angle_gamma 120.00
_symmetry_space_group_name_H-M 'P -6 m 2'
_symmetry_Int_Tables_number 187
_symmetry_space_group_name_Hall 'P -6 2'
loop_
_atom_site_label
_atom_site_type_symbol
_atom_site_fract_x
_atom_site_fract_y
_atom_site_fract_z
Li1 Li 0.0000 0.0000 0.0000
Li2 Li 0.3333 0.6667 0.3058
Ca1 Ca 0.6667 0.3333 0.1666
Ca2 Ca 0.6667 0.3333 0.5000
Pb1 Pb 0.0000 0.0000 0.3443
Pb2 Pb 0.3333 0.6667 0.0000
```

Summary:
N(E_F) in states/eV/atom: 0.3893
Crystal system: hexagonal
DFT formation energy in eV per formula unit: -1.4